# Y7Er12Sc | Alexandria via LeMat-Bulk | PBE-GGA | relaxed
# **V**: 32.09 A^3/atom
# **DOS at the Fermi energy**: 1.87 states/eV per atom
# **Energy relative to the elements**: 246 meV/atom
# **Size of the total moment**: 0.00 μB per formula unit
# **ΔE to the lowest computed polymorph**: 0 meV per atom
data_Y7Er12Sc
_chemical_formula_sum 'Y7 Er12 Sc1'
_symmetry_space_group_name_H-M 'P 1'
_symmetry_Int_Tables_number 1
_cell_length_a 8.638
_cell_length_b 8.638
_cell_length_c 8.638
_cell_angle_alpha 86.89
_cell_angle_beta 86.89
_cell_angle_gamma 86.89
loop_
_symmetry_equiv_pos_as_xyz
'x,y,z'
loop_
_atom_site_label
_atom_site_type_symbol
_atom_site_fract_x
_atom_site_fract_y
_atom_site_fract_z
Y1 Y 0.000 0.000 0.000
Y2 Y 0.148 0.605 0.497
Y3 Y 0.395 0.503 0.852
Y4 Y 0.497 0.148 0.605
Y5 Y 0.503 0.852 0.395
Y6 Y 0.605 0.497 0.148
Y7 Y 0.852 0.395 0.503
Er1 Er 0.075 0.397 0.150
Er2 Er 0.146 0.268 0.746
Er3 Er 0.150 0.075 0.397
Er4 Er 0.254 0.854 0.732
Er5 Er 0.268 0.746 0.146
Er6 Er 0.397 0.150 0.075
Er7 Er 0.603 0.850 0.925
Er8 Er 0.732 0.254 0.854
Er9 Er 0.746 0.146 0.268
Er10 Er 0.850 0.925 0.603
Er11 Er 0.854 0.732 0.254
Er12 Er 0.925 0.603 0.850
Sc1 Sc 0.500 0.500 0.500